CsCaBr3: optimized geometry, PBE.

Properties
Uncorrected formation energy (meV/atom): -1859
Density of states at the Fermi level (states/eV/f.u.): 0.00

Geometry as CIF:
```
data_CsCaBr3
_chemical_formula_sum 'Cs4 Ca4 Br12'
_cell_length_a 18.4215
_cell_length_b 4.0357
_cell_length_c 12.9607
_cell_angle_alpha 90.00
_cell_angle_beta 110.16
_cell_angle_gamma 90.00
_symmetry_space_group_name_H-M 'C 1 2/m 1'
_symmetry_Int_Tables_number 12
_symmetry_space_group_name_Hall '-C 2y'
loop_
_atom_site_label
_atom_site_type_symbol
_atom_site_fract_x
_atom_site_fract_y
_atom_site_fract_z
_atom_site_occupancy
Cs1 Cs 0.2006 0.0000 0.1763 1
Ca1 Ca 0.0461 0.0000 0.7523 1
Br1 Br 0.0758 0.5000 0.2722 1
Br2 Br 0.1028 0.5000 0.6362 1
Br3 Br 0.1308 0.5000 0.9301 1
```